The following is a PBE calculation of a geometry-optimized Si23Ir3 structure, from the Alexandria database.

Size of the total moment   12.39 Bohr magnetons per cell
Crystal system   cubic
Fermi-level density of states   47.21 states/eV/cell
Raw total energy   -270.577 eV per cell
Formation energy without anion corrections   16.02 eV per formula unit

Unit cell a=10.055 b=10.055 c=10.055 alpha=90.00 beta=90.00 gamma=90.00
Fractional coordinates of all 52 atoms:
Si 0.000 0.115 0.313
Si 0.000 0.115 0.687
Si 0.000 0.250 0.500
Si 0.000 0.750 0.500
Si 0.000 0.885 0.313
Si 0.000 0.885 0.687
Si 0.115 0.313 0.000
Si 0.115 0.687 0.000
Si 0.184 0.184 0.184
Si 0.184 0.184 0.816
Si 0.184 0.816 0.184
Si 0.184 0.816 0.816
Si 0.187 0.385 0.500
Si 0.187 0.615 0.500
Si 0.250 0.500 0.000
Si 0.313 0.000 0.115
Si 0.313 0.000 0.885
Si 0.316 0.316 0.316
Si 0.316 0.316 0.684
Si 0.316 0.684 0.316
Si 0.316 0.684 0.684
Si 0.385 0.500 0.187
Si 0.385 0.500 0.813
Si 0.500 0.000 0.250
Si 0.500 0.000 0.750
Si 0.500 0.187 0.385
Si 0.500 0.187 0.615
Si 0.500 0.813 0.385
Si 0.500 0.813 0.615
Si 0.615 0.500 0.187
Si 0.615 0.500 0.813
Si 0.684 0.316 0.316
Si 0.684 0.316 0.684
Si 0.684 0.684 0.316
Si 0.684 0.684 0.684
Si 0.687 0.000 0.115
Si 0.687 0.000 0.885
Si 0.750 0.500 0.000
Si 0.813 0.385 0.500
Si 0.813 0.615 0.500
Si 0.816 0.184 0.184
Si 0.816 0.184 0.816
Si 0.816 0.816 0.184
Si 0.816 0.816 0.816
Si 0.885 0.313 0.000
Si 0.885 0.687 0.000
Ir 0.000 0.500 0.250
Ir 0.000 0.500 0.750
Ir 0.250 0.000 0.500
Ir 0.500 0.250 0.000
Ir 0.500 0.750 0.000
Ir 0.750 0.000 0.500

The following is a PBE calculation of a geometry-optimized SiIr2 structure, from the Alexandria database.

Size of the total moment   0.00 Bohr magnetons per cell
Crystal system   hexagonal
Fermi-level density of states   2.27 states/eV/cell
Raw total energy   -22.026 eV per cell
Formation energy without anion corrections   1.12 eV per formula unit

Unit cell a=4.316 b=4.316 c=2.774 alpha=90.00 beta=90.00 gamma=120.00
Fractional coordinates of all 3 atoms:
Si 0.000 0.000 0.000
Ir 0.333 0.667 0.500
Ir 0.667 0.333 0.500